[1]
AlPd2C | PBE | relaxed

Results
For the uncorrected energy, the calculation gives -5.4598 eV per atom. For the calculated density, the calculation gives 7.8 g/cm³.

a b c (Å): 3.0973 3.0973 12.9367
angles (deg): 90.00 90.00 120.00
Closest atoms and distances in Å follow each position.
Space group P6_3/mmc (No. 194)
Unique sites:
Al 0.3333 0.6667 0.2500 [2 per cell]  6 Pd 2.68
Pd 0.3333 0.6667 0.5955 [4 per cell]  3 C 2.17
C 0.0000 0.0000 0.0000 [2 per cell]  6 Pd 2.17


[2]
LiNdHg6 | PBE | relaxed

Results
For the uncorrected energy, the calculation gives -1.3406 eV per atom. For the calculated density, the calculation gives 11.8 g/cm³.

a b c (Å): 4.8463 4.8463 8.0888
angles (deg): 90.00 90.00 90.00
Closest atoms and distances in Å follow each position.
Space group P4/mmm (No. 123)
Unique sites:
Li 0.0000 0.0000 0.0000 [1 per cell]  8 Hg 3.05
Nd 0.5000 0.5000 0.5000 [1 per cell]  12 Hg 3.26-3.43
Hg 0.0000 0.0000 0.5000 [1 per cell]  8 Hg 3.26, 4 Nd 3.43
Hg 0.0000 0.5000 0.2298 [4 per cell]  4 Hg 3.05-3.26, 2 Li 3.05, 2 Nd 3.26
Hg 0.5000 0.5000 0.0000 [1 per cell]  8 Hg 3.05


[3]
BiW2Au | PBE | relaxed

Results
For the uncorrected energy, the calculation gives -7.2674 eV per atom. For the calculated density, the calculation gives 16.7 g/cm³.

a b c (Å): 6.7494 6.7494 6.7494
angles (deg): 90.00 90.00 90.00
Closest atoms and distances in Å follow each position.
Space group F-43m (No. 216)
Unique sites:
Bi 0.0000 0.0000 0.0000 [4 per cell]  4 Au 2.92, 4 W 2.92
W 0.0000 0.0000 0.5000 [4 per cell]  4 W 2.92, 4 Au 2.92
W 0.2500 0.2500 0.7500 [4 per cell]  4 W 2.92, 4 Bi 2.92
Au 0.2500 0.2500 0.2500 [4 per cell]  4 W 2.92, 4 Bi 2.92


[4]
TmSbIr | PBE | relaxed

Results
For the uncorrected energy, the calculation gives -6.6929 eV per atom. For the calculated density, the calculation gives 12.9 g/cm³.

a b c (Å): 7.3989 7.3989 3.9488
angles (deg): 90.00 90.00 120.00
Closest atoms and distances in Å follow each position.
Space group P-62m (No. 189)
Unique sites:
Tm 0.0000 0.6005 0.0000 [3 per cell]  5 Ir 2.96-3.00, 6 Sb 3.17-3.27
Sb 0.0000 0.2660 0.5000 [3 per cell]  4 Ir 2.75-2.79
Ir 0.0000 0.0000 0.0000 [1 per cell]  6 Sb 2.79, 3 Tm 2.96
Ir 0.3333 0.6667 0.5000 [2 per cell]  3 Sb 2.75, 6 Tm 3.00


[5]
Co2PtPb | PBE | relaxed

Results
For the uncorrected energy, the calculation gives -5.6169 eV per atom. For the calculated density, the calculation gives 13.9 g/cm³.

a b c (Å): 6.2947 6.2947 6.2947
angles (deg): 90.00 90.00 90.00
Closest atoms and distances in Å follow each position.
Space group F-43m (No. 216)
Unique sites:
Co 0.0000 0.0000 0.0000 [4 per cell]  4 Co 2.73, 4 Pt 2.73
Co 0.2500 0.2500 0.2500 [4 per cell]  4 Pb 2.73, 4 Co 2.73
Pt 0.2500 0.2500 0.7500 [4 per cell]  4 Pb 2.73, 4 Co 2.73
Pb 0.0000 0.0000 0.5000 [4 per cell]  4 Co 2.73, 4 Pt 2.73


[6]
TlCu3OsS4 | PBE | relaxed

Results
For the uncorrected energy, the calculation gives -4.5388 eV per atom. For the calculated density, the calculation gives 6.0 g/cm³.

a b c (Å): 5.8195 5.8195 5.8195
angles (deg): 90.00 90.00 90.00
Closest atoms and distances in Å follow each position.
Space group P-43m (No. 215)
Unique sites:
Tl 0.0000 0.0000 0.0000 [1 per cell]  4 S 2.79
Cu 0.0000 0.5000 0.5000 [3 per cell]  4 S 2.44
Os 0.5000 0.5000 0.5000 [1 per cell]  4 S 2.25
S 0.2768 0.2768 0.2768 [4 per cell]  1 Os 2.25, 3 Cu 2.44


[7]
TaReNO | PBE | relaxed

Results
The value obtained for the excess energy over the best structure of this formula in the dataset is 0.659 eV/atom. For the uncorrected energy, the calculation gives -9.6748 eV per atom. For the calculated density, the calculation gives 15.3 g/cm³.

a b c (Å): 4.1760 4.1760 4.9567
angles (deg): 90.00 90.00 90.00
Closest atoms and distances in Å follow each position.
Space group P4/nmm (No. 129, origin choice 2)
Unique sites:
Ta 0.2500 0.7500 0.0000 [2 per cell]  4 N 2.20
Re 0.2500 0.2500 0.4175 [2 per cell]  4 O 2.13, 1 N 2.20
N 0.2500 0.2500 0.8605 [2 per cell]  1 Re 2.20, 4 Ta 2.20
O 0.2500 0.7500 0.5000 [2 per cell]  4 Re 2.13


[8]
DyEr6Te2Pt2 | PBE | relaxed

Results
For the uncorrected energy, the calculation gives -5.6122 eV per atom. For the calculated density, the calculation gives 10.3 g/cm³.

a b c (Å): 3.9336 15.6121 9.5406
angles (deg): 90.00 90.00 90.00
Closest atoms and distances in Å follow each position.
Space group Imm2 (No. 44)
Unique sites:
Dy 0.0000 0.0000 0.0000 [2 per cell]  3 Te 3.20-3.21
Er 0.0000 0.1302 0.4174 [4 per cell]  2 Pt 2.85, 3 Te 3.10-3.18
Er 0.0000 0.3171 0.6252 [4 per cell]  3 Pt 2.86-3.14, 1 Te 3.15
Er 0.0000 0.3549 0.2665 [4 per cell]  2 Pt 2.89, 2 Te 3.16
Te 0.0000 0.0000 0.6633 [2 per cell]  6 Er 3.10-3.16, 1 Dy 3.21
Te 0.0000 0.5000 0.7647 [2 per cell]  6 Er 3.15-3.18, 2 Dy 3.20
Pt 0.0000 0.2380 0.9278 [4 per cell]  7 Er 2.85-3.14